PBE-GGA GdLu2Bi3, optimized geometry; energy = -5.109 eV per atom; theoretical density = 10.12 Mg/m³
1.0
4.443 0.000 0.000
-2.222 3.848 0.000
0.000 0.000 10.883
Bi Gd Lu
3 1 2
direct
0.000 0.000 0.000
0.333 0.667 0.328
0.667 0.333 0.672
0.000 0.000 0.500
0.667 0.333 0.166
0.333 0.667 0.834